Record 1
Material: Tc2RuPb
Method: DFT, PBE
State: relaxed

Cell lengths 4.6508, 4.6508, 3.0645 Å; angles 90.00, 90.00, 90.00 degrees
Last column: nearest neighbours and their distance in Å.
Positions (direct):
Tc: 0.0000 0.5000 0.0000  4 Pb 2.78, 4 Ru 2.78, 2 Tc 3.06
Tc: 0.5000 0.0000 0.0000  4 Pb 2.78, 4 Ru 2.78, 2 Tc 3.06
Ru: 0.0000 0.0000 0.5000  8 Tc 2.78, 2 Ru 3.06
Pb: 0.5000 0.5000 0.5000  8 Tc 2.78, 2 Pb 3.06

## Properties
ΔE_f   0.743 eV per atom
Fermi-level density of states   6.60 states/eV per cell

Record 2
Material: Tc2RuPb
Method: DFT, PBE
State: relaxed

Cell lengths 2.9287, 3.8582, 5.9741 Å; angles 90.00, 92.05, 90.00 degrees
Last column: nearest neighbours and their distance in Å.
Positions (direct):
Tc: 0.0000 0.0000 0.0000  4 Tc 2.56-2.78, 4 Ru 2.81-2.86
Tc: 0.4434 0.5000 0.1861  4 Tc 2.56-2.78, 1 Ru 2.58
Ru: 0.4655 0.5000 0.7547  5 Tc 2.58-2.86, 2 Pb 2.86
Pb: 0.9569 0.0000 0.4939  4 Ru 2.86-2.89, 2 Pb 2.93, 6 Tc 2.96-3.05

## Properties
ΔE_f   0.496 eV per atom
Fermi-level density of states   4.63 states/eV per cell

Record 3
Material: Tc2RuPb
Method: DFT, PBE
State: relaxed

Cell lengths 7.4058, 7.4058, 5.3875 Å; angles 90.00, 90.00, 90.00 degrees
Last column: nearest neighbours and their distance in Å.
Positions (direct):
Tc: 0.2011 0.2500 0.1250  2 Ru 2.47
Tc: 0.2500 0.7011 0.3750  2 Ru 2.47
Tc: 0.2500 0.7989 0.8750  2 Ru 2.47
Tc: 0.2989 0.2500 0.6250  2 Ru 2.47
Tc: 0.7011 0.7500 0.6250  2 Ru 2.47
Tc: 0.7500 0.2011 0.8750  2 Ru 2.47
Tc: 0.7500 0.2989 0.3750  2 Ru 2.47
Tc: 0.7989 0.7500 0.1250  2 Ru 2.47
Ru: 0.0000 0.0000 0.0000  4 Tc 2.47, 2 Pb 2.69
Ru: 0.0000 0.5000 0.2500  4 Tc 2.47, 2 Pb 2.69
Ru: 0.5000 0.0000 0.7500  4 Tc 2.47, 2 Pb 2.69
Ru: 0.5000 0.5000 0.5000  4 Tc 2.47, 2 Pb 2.69
Pb: 0.0000 0.0000 0.5000  2 Ru 2.69, 4 Tc 2.96
Pb: 0.0000 0.5000 0.7500  2 Ru 2.69, 4 Tc 2.96
Pb: 0.5000 0.0000 0.2500  2 Ru 2.69, 4 Tc 2.96
Pb: 0.5000 0.5000 0.0000  2 Ru 2.69, 4 Tc 2.96

## Properties
ΔE_f   0.933 eV per atom
Fermi-level density of states   17.48 states/eV per cell

Record 4
Material: TcRuPb2
Method: DFT, PBE
State: relaxed

Cell lengths 3.1783, 4.3458, 5.8130 Å; angles 90.00, 94.21, 90.00 degrees
Last column: nearest neighbours and their distance in Å.
Positions (direct):
Tc: 0.0000 0.0000 0.0000  4 Pb 2.79
Ru: 0.5000 0.0000 0.5000  4 Pb 2.74
Pb: 0.2665 0.5000 0.7482  2 Ru 2.74, 2 Tc 2.79
Pb: 0.7335 0.5000 0.2518  2 Ru 2.74, 2 Tc 2.79

## Properties
ΔE_f   0.805 eV per atom
ΔE to the lowest computed polymorph   48.7 kJ per mole of atoms
Fermi-level density of states   4.04 states/eV per cell

Record 5
Material: Tc2RuPb
Method: DFT, PBE
State: relaxed

Cell lengths 3.7890, 3.7890, 4.6164 Å; angles 90.00, 90.00, 90.00 degrees
Last column: nearest neighbours and their distance in Å.
Positions (direct):
Tc: 0.0000 0.5000 0.0000  4 Tc 2.68, 4 Pb 2.99, 4 Ru 2.99
Tc: 0.5000 0.0000 0.0000  4 Tc 2.68, 4 Pb 2.99, 4 Ru 2.99
Ru: 0.0000 0.0000 0.5000  4 Pb 2.68, 8 Tc 2.99
Pb: 0.5000 0.5000 0.5000  4 Ru 2.68, 8 Tc 2.99

## Properties
ΔE_f   0.662 eV per atom
Fermi-level density of states   5.97 states/eV per cell

Record 6
Material: TcRu4Pb
Method: DFT, PBE
State: relaxed

Cell lengths 5.1545, 5.1545, 5.1545 Å; angles 60.00, 60.00, 60.00 degrees
Last column: nearest neighbours and their distance in Å.
Positions (direct):
Tc: 0.0000 0.0000 0.0000  12 Ru 3.02, 4 Pb 3.16
Ru: 0.3746 0.3746 0.3746  6 Ru 2.57-2.59
Ru: 0.3746 0.3746 0.8763  6 Ru 2.57-2.59
Ru: 0.3746 0.8763 0.3746  6 Ru 2.57-2.59
Ru: 0.8763 0.3746 0.3746  6 Ru 2.57-2.59
Pb: 0.7500 0.7500 0.7500  12 Ru 3.02, 4 Tc 3.16

## Properties
ΔE_f   0.688 eV per atom
Fermi-level density of states   9.80 states/eV per cell

Record 7
Material: TcRuPb2
Method: DFT, PBE
State: relaxed

Cell lengths 3.3483, 5.4581, 8.7468 Å; angles 90.00, 90.00, 90.00 degrees
Last column: nearest neighbours and their distance in Å.
Positions (direct):
Tc: 0.0000 0.0000 0.0000  4 Pb 2.78
Tc: 0.5000 0.5000 0.5000  4 Pb 2.78
Ru: 0.0000 0.0000 0.5000  4 Pb 2.73
Ru: 0.5000 0.5000 0.0000  4 Pb 2.73
Pb: 0.0000 0.5000 0.2466  2 Ru 2.73, 2 Tc 2.78
Pb: 0.0000 0.5000 0.7534  2 Ru 2.73, 2 Tc 2.78
Pb: 0.5000 0.0000 0.2534  2 Ru 2.73, 2 Tc 2.78
Pb: 0.5000 0.0000 0.7466  2 Ru 2.73, 2 Tc 2.78

## Properties
ΔE_f   0.807 eV per atom
ΔE to the lowest computed polymorph   49.0 kJ per mole of atoms
Fermi-level density of states   9.36 states/eV per cell

Record 8
Material: Tc2RuPb
Method: DFT, PBE
State: relaxed

Cell lengths 3.8862, 3.8862, 8.6412 Å; angles 90.00, 90.00, 90.00 degrees
Last column: nearest neighbours and their distance in Å.
Positions (direct):
Tc: 0.0000 0.5000 0.2500  4 Tc 2.75, 4 Pb 2.91, 4 Ru 2.91
Tc: 0.0000 0.5000 0.7500  4 Tc 2.75, 4 Pb 2.91, 4 Ru 2.91
Tc: 0.5000 0.0000 0.2500  4 Tc 2.75, 4 Pb 2.91, 4 Ru 2.91
Tc: 0.5000 0.0000 0.7500  4 Tc 2.75, 4 Pb 2.91, 4 Ru 2.91
Ru: 0.0000 0.0000 0.0000  4 Pb 2.75, 8 Tc 2.91
Ru: 0.5000 0.5000 0.5000  4 Pb 2.75, 8 Tc 2.91
Pb: 0.0000 0.0000 0.5000  4 Ru 2.75, 8 Tc 2.91
Pb: 0.5000 0.5000 0.0000  4 Ru 2.75, 8 Tc 2.91

## Properties
ΔE_f   0.543 eV per atom
Fermi-level density of states   11.43 states/eV per cell

Record 9
Material: Tc2RuPb
Method: DFT, PBE
State: relaxed

Cell lengths 3.9968, 3.9968, 8.1834 Å; angles 90.00, 90.00, 90.00 degrees
Last column: nearest neighbours and their distance in Å.
Positions (direct):
Tc: 0.0000 0.0000 0.0000  4 Ru 2.83, 4 Pb 2.86, 4 Tc 2.86
Tc: 0.0000 0.5000 0.2500  4 Pb 2.83, 4 Tc 2.86, 4 Ru 2.86
Tc: 0.5000 0.0000 0.7500  4 Pb 2.83, 4 Ru 2.86, 4 Tc 2.86
Tc: 0.5000 0.5000 0.5000  4 Ru 2.83, 4 Pb 2.86, 4 Tc 2.86
Ru: 0.0000 0.0000 0.5000  8 Tc 2.83-2.86, 4 Pb 2.86
Ru: 0.5000 0.5000 0.0000  8 Tc 2.83-2.86, 4 Pb 2.86
Pb: 0.0000 0.5000 0.7500  8 Tc 2.83-2.86, 4 Ru 2.86
Pb: 0.5000 0.0000 0.2500  8 Tc 2.83-2.86, 4 Ru 2.86

## Properties
ΔE_f   0.559 eV per atom
Fermi-level density of states   11.82 states/eV per cell

Record 10
Material: Ti2TcRuPb
Method: DFT, PBE
State: relaxed

Cell lengths 4.5799, 4.5799, 5.1232 Å; angles 90.00, 90.00, 90.00 degrees
Last column: nearest neighbours and their distance in Å.
Positions (direct):
Ti: 0.0000 0.5000 0.0000  2 Tc 2.29
Ti: 0.5000 0.0000 0.0000  2 Tc 2.29
Tc: 0.0000 0.0000 0.0000  4 Ti 2.29, 2 Pb 2.56
Ru: 0.5000 0.5000 0.5000  4 Pb 3.24, 8 Ti 3.44
Pb: 0.0000 0.0000 0.5000  2 Tc 2.56

## Properties
ΔE_f   0.961 eV per atom
Fermi-level density of states   5.74 states/eV per cell

Record 11
Material: TeRuPb2
Method: DFT, PBE
State: relaxed

Cell lengths 3.3654, 4.6315, 13.5976 Å; angles 90.00, 90.00, 90.00 degrees
Last column: nearest neighbours and their distance in Å.
Positions (direct):
Te: 0.0000 0.0000 0.0000  2 Ru 2.64
Te: 0.5000 0.5000 0.5000  2 Ru 2.64
Ru: 0.0000 0.5000 0.3504  2 Te 2.64, 4 Pb 2.91
Ru: 0.5000 0.0000 0.8504  2 Te 2.64, 4 Pb 2.91
Pb: 0.0000 0.0000 0.6462  4 Pb 3.24-3.37, 2 Ru 3.25, 4 Te 3.49
Pb: 0.0000 0.5000 0.8127  4 Ru 2.91, 2 Pb 3.24
Pb: 0.5000 0.0000 0.3127  4 Ru 2.91, 2 Pb 3.24
Pb: 0.5000 0.5000 0.1462  4 Pb 3.24-3.37, 2 Ru 3.25, 4 Te 3.49

## Properties
ΔE_f (raw)   0.1888 eV/atom
Fermi-level density of states   6.32 states/eV per cell

Record 12
Material: TeRuPb2
Method: DFT, PBE
State: relaxed

Cell lengths 4.9919, 11.4873, 4.1774 Å; angles 90.00, 90.00, 90.00 degrees
Last column: nearest neighbours and their distance in Å.
Positions (direct):
Te: 0.0000 0.0000 0.0000  2 Ru 2.50
Te: 0.5000 0.5000 0.0000  2 Ru 2.50
Ru: 0.0000 0.5000 0.0000  2 Te 2.50, 4 Pb 2.79
Ru: 0.5000 0.0000 0.0000  2 Te 2.50, 4 Pb 2.79
Pb: 0.0000 0.3393 0.5000  2 Ru 2.79
Pb: 0.0000 0.6607 0.5000  2 Ru 2.79
Pb: 0.5000 0.1607 0.5000  2 Ru 2.79
Pb: 0.5000 0.8393 0.5000  2 Ru 2.79

## Properties
ΔE_f (raw)   0.1994 eV/atom
Fermi-level density of states   4.44 states/eV per cell

Record 13
Material: TeRuPb2
Method: DFT, PBE
State: relaxed

Cell lengths 3.4013, 4.5227, 13.6533 Å; angles 90.00, 90.00, 90.00 degrees
Last column: nearest neighbours and their distance in Å.
Positions (direct):
Te: 0.0000 0.0000 0.0000  4 Ru 2.83
Te: 0.5000 0.5000 0.5000  4 Ru 2.83
Ru: 0.0000 0.0000 0.5000  4 Te 2.83, 4 Pb 2.93
Ru: 0.5000 0.5000 0.0000  4 Te 2.83, 4 Pb 2.93
Pb: 0.0000 0.5000 0.1744  2 Ru 2.93
Pb: 0.0000 0.5000 0.8256  2 Ru 2.93
Pb: 0.5000 0.0000 0.3256  2 Ru 2.93
Pb: 0.5000 0.0000 0.6744  2 Ru 2.93

## Properties
ΔE_f (raw)   0.2279 eV/atom
Fermi-level density of states   8.16 states/eV per cell

Record 14
Material: TeRuPb2
Method: DFT, PBE
State: relaxed

Cell lengths 5.1056, 5.1056, 3.9061 Å; angles 90.00, 90.00, 90.00 degrees
Last column: nearest neighbours and their distance in Å.
Positions (direct):
Te: 0.0000 0.0000 0.0000  8 Pb 3.21
Ru: 0.5000 0.5000 0.0000  8 Pb 3.21
Pb: 0.0000 0.5000 0.5000  4 Ru 3.21, 4 Te 3.21
Pb: 0.5000 0.0000 0.5000  4 Ru 3.21, 4 Te 3.21

## Properties
ΔE_f (raw)   0.5638 eV/atom
Fermi-level density of states   3.63 states/eV per cell

Record 15
Material: TeRuPb2
Method: DFT, PBE
State: relaxed

Cell lengths 6.4624, 8.4814, 3.6129 Å; angles 90.00, 90.00, 90.00 degrees
Last column: nearest neighbours and their distance in Å.
Positions (direct):
Te: 0.0000 0.0000 0.0000  8 Pb 3.22, 2 Ru 3.23
Te: 0.5000 0.5000 0.0000  8 Pb 3.22, 2 Ru 3.23
Ru: 0.0000 0.5000 0.0000  8 Pb 3.22, 2 Te 3.23
Ru: 0.5000 0.0000 0.0000  8 Pb 3.22, 2 Te 3.23
Pb: 0.2500 0.2500 0.5000  4 Ru 3.22, 4 Te 3.22, 2 Pb 3.23
Pb: 0.2500 0.7500 0.5000  4 Ru 3.22, 4 Te 3.22, 2 Pb 3.23
Pb: 0.7500 0.2500 0.5000  4 Ru 3.22, 4 Te 3.22, 2 Pb 3.23
Pb: 0.7500 0.7500 0.5000  4 Te 3.22, 4 Ru 3.22, 2 Pb 3.23

## Properties
ΔE_f (raw)   0.5436 eV/atom
Fermi-level density of states   9.21 states/eV per cell

Record 16
Material: TeRuPb4
Method: DFT, PBE
State: relaxed

Cell lengths 6.3410, 6.3410, 6.3410 Å; angles 60.00, 60.00, 60.00 degrees
Last column: nearest neighbours and their distance in Å.
Positions (direct):
Te: 0.0000 0.0000 0.0000  12 Pb 3.72, 4 Ru 3.88
Ru: 0.2500 0.2500 0.2500  12 Pb 3.72, 4 Te 3.88
Pb: 0.1275 0.6242 0.6242  6 Pb 3.15-3.19
Pb: 0.6242 0.1275 0.6242  6 Pb 3.15-3.19
Pb: 0.6242 0.6242 0.1275  6 Pb 3.15-3.19
Pb: 0.6242 0.6242 0.6242  6 Pb 3.15-3.19

## Properties
ΔE_f (raw)   0.7726 eV/atom
Fermi-level density of states   4.70 states/eV per cell

Record 17
Material: TeRuPb2
Method: DFT, PBE
State: relaxed

Cell lengths 4.5080, 4.5080, 9.6443 Å; angles 90.00, 90.00, 90.00 degrees
Last column: nearest neighbours and their distance in Å.
Positions (direct):
Te: 0.0000 0.0000 0.0000  4 Ru 3.19, 8 Pb 3.30
Te: 0.5000 0.5000 0.5000  4 Ru 3.19, 8 Pb 3.30
Ru: 0.0000 0.0000 0.5000  4 Te 3.19, 8 Pb 3.30
Ru: 0.5000 0.5000 0.0000  4 Te 3.19, 8 Pb 3.30
Pb: 0.0000 0.5000 0.2500  4 Pb 3.19, 4 Ru 3.30, 4 Te 3.30
Pb: 0.0000 0.5000 0.7500  4 Pb 3.19, 4 Te 3.30, 4 Ru 3.30
Pb: 0.5000 0.0000 0.2500  4 Pb 3.19, 4 Ru 3.30, 4 Te 3.30
Pb: 0.5000 0.0000 0.7500  4 Pb 3.19, 4 Te 3.30, 4 Ru 3.30

## Properties
ΔE_f (raw)   0.5120 eV/atom
Fermi-level density of states   6.67 states/eV per cell

Record 18
Material: TeRuPb2
Method: DFT, PBE
State: relaxed

Cell lengths 9.0007, 3.6678, 7.1189 Å; angles 90.00, 111.14, 90.00 degrees
Last column: nearest neighbours and their distance in Å.
Positions (direct):
Te: 0.0000 0.0000 0.0000  3 Ru 2.62-2.65
Te: 0.5000 0.5000 0.0000  3 Ru 2.62-2.65
Ru: 0.3026 0.0000 0.0324  3 Te 2.62-2.65, 2 Pb 2.85
Ru: 0.8026 0.5000 0.0324  3 Te 2.62-2.65, 2 Pb 2.85
Pb: 0.1548 0.5000 0.6790  2 Ru 3.01, 1 Te 3.12, 1 Pb 3.33
Pb: 0.3425 0.5000 0.3529  2 Ru 2.85
Pb: 0.6548 0.0000 0.6790  2 Ru 3.01, 1 Te 3.12, 1 Pb 3.33
Pb: 0.8425 0.0000 0.3529  2 Ru 2.85

## Properties
ΔE_f (raw)   0.1379 eV/atom
Fermi-level density of states   4.98 states/eV per cell

Record 19
Material: TeRuPb2
Method: DFT, PBE
State: relaxed

Cell lengths 3.3952, 3.3952, 30.4606 Å; angles 90.00, 90.00, 120.00 degrees
Last column: nearest neighbours and their distance in Å.
Positions (direct):
Te: 0.0000 0.0000 0.0000  6 Te 3.40, 6 Pb 3.62
Te: 0.3333 0.6667 0.6667  6 Te 3.40, 6 Pb 3.62
Te: 0.6667 0.3333 0.3333  6 Te 3.40, 6 Pb 3.62
Ru: 0.0000 0.0000 0.5000  6 Pb 2.82
Ru: 0.3333 0.6667 0.1667  6 Pb 2.82
Ru: 0.6667 0.3333 0.8333  6 Pb 2.82
Pb: 0.0000 0.0000 0.2334  3 Ru 2.82
Pb: 0.0000 0.0000 0.7666  3 Ru 2.82
Pb: 0.3333 0.6667 0.4332  3 Ru 2.82
Pb: 0.3333 0.6667 0.9001  3 Ru 2.82
Pb: 0.6667 0.3333 0.0999  3 Ru 2.82
Pb: 0.6667 0.3333 0.5668  3 Ru 2.82

## Properties
ΔE_f (raw)   0.3447 eV/atom
Fermi-level density of states   15.43 states/eV per cell

Record 20
Material: Te4RuPb
Method: DFT, PBE
State: relaxed

Cell lengths 6.3137, 6.3137, 6.3137 Å; angles 60.00, 60.00, 60.00 degrees
Last column: nearest neighbours and their distance in Å.
Positions (direct):
Te: 0.3758 0.3758 0.3758  6 Te 3.14-3.18
Te: 0.3758 0.3758 0.8725  6 Te 3.14-3.18
Te: 0.3758 0.8725 0.3758  6 Te 3.14-3.18
Te: 0.8725 0.3758 0.3758  6 Te 3.14-3.18
Ru: 0.7500 0.7500 0.7500  12 Te 3.70, 4 Pb 3.87
Pb: 0.0000 0.0000 0.0000  12 Te 3.70, 4 Ru 3.87

## Properties
ΔE_f (raw)   0.9238 eV/atom
Fermi-level density of states   6.07 states/eV per cell